Record 1
Compound: CaHf3Tc
Source: Alexandria
Functional: PBE
Structure: relaxed

Cell: 4.810 4.810 4.810 Å, 90.00 90.00 90.00°
Fractional coordinates of all 5 atoms:
Ca 0.000 0.000 0.000
Hf 0.000 0.500 0.000
Hf 0.000 0.000 0.500
Hf 0.500 0.000 0.000
Tc 0.500 0.500 0.500

The energy relative to the lowest polymorph listed for this composition is 1807.4 meV/atom. The space-group type is Pm-3m. The value obtained for the calculated density is 10053 kg/m³. Its calculated formation energy is 2.145 eV per atom. The calculated total energy comes out at -31.50 eV/cell.

=====

Record 2
Compound: ErThSc4
Source: Alexandria
Functional: PBE
Structure: relaxed

Cell: 5.652 5.652 10.890 Å, 61.91 61.90 32.75°
Fractional coordinates of all 6 atoms:
Er 0.500 0.500 0.500
Th 0.000 0.000 0.000
Sc 0.653 0.653 0.156
Sc 0.347 0.347 0.844
Sc 0.157 0.157 0.657
Sc 0.843 0.843 0.343

The energy relative to the lowest polymorph listed for this composition is 178.5 meV/atom. The space-group type is C2/m. The value obtained for the calculated density is 5866 kg/m³. Its calculated formation energy is 0.205 eV per atom. The calculated total energy comes out at -36.08 eV/cell.